Record 1
Computed, not measured: crystalline In2CoCl at its relaxed geometry at the PBE level of DFT.

Computed properties:
Symmetry = P4/mmm
Formation energy (no corrections) = -0.053 eV/atom
Total energy = -0.269 Ry per atom

a = 3.215 Å, b = 3.215 Å, c = 7.666 Å
α = 90.00°, β = 90.00°, γ = 90.00°
Atoms (fractional coordinates):
Cl 0.500 0.500 0.250
Co 0.500 0.500 0.750
In 0.000 0.000 0.953
In 0.000 0.000 0.547

Record 2
Computed, not measured: crystalline NaInCoCl6 at its relaxed geometry at the PBE level of DFT.

Computed properties:
Symmetry = P-31c
Formation energy (no corrections) = -1.012 eV/atom
Total energy = -0.256 Ry per atom

a = 6.385 Å, b = 6.385 Å, c = 12.409 Å
α = 90.00°, β = 90.00°, γ = 120.00°
Atoms (fractional coordinates):
Na 0.000 0.000 0.000
Na 0.000 0.000 0.500
In 0.667 0.333 0.250
In 0.333 0.667 0.750
Co 0.333 0.667 0.250
Co 0.667 0.333 0.750
Cl 0.625 0.649 0.139
Cl 0.024 0.375 0.139
Cl 0.375 0.024 0.639
Cl 0.976 0.625 0.861
Cl 0.351 0.375 0.361
Cl 0.024 0.649 0.361
Cl 0.649 0.024 0.861
Cl 0.625 0.976 0.361
Cl 0.976 0.351 0.639
Cl 0.351 0.976 0.139
Cl 0.649 0.625 0.639
Cl 0.375 0.351 0.861

Record 3
Computed, not measured: crystalline InCoPb2Cl at its relaxed geometry at the PBE level of DFT.

Computed properties:
Symmetry = P4/mmm
Formation energy (no corrections) = -0.182 eV/atom
Total energy = -0.294 Ry per atom

a = 5.077 Å, b = 5.077 Å, c = 5.059 Å
α = 90.00°, β = 90.00°, γ = 90.00°
Atoms (fractional coordinates):
Pb 0.000 0.500 0.000
Pb 0.500 0.000 0.000
Cl 0.500 0.500 0.500
Co 0.000 0.000 0.000
In 0.000 0.000 0.500

Record 4
Computed, not measured: crystalline Pm6InCo2Cl3 at its relaxed geometry at the PBE level of DFT.

Computed properties:
Symmetry = C2/m
Formation energy (no corrections) = -0.839 eV/atom
Total energy = -0.374 Ry per atom

a = 3.895 Å, b = 8.776 Å, c = 10.463 Å
α = 105.14°, β = 100.73°, γ = 90.00°
Atoms (fractional coordinates):
Pm 0.335 0.870 0.671
Pm 0.689 0.583 0.379
Pm 0.665 0.130 0.329
Pm 0.042 0.292 0.084
Pm 0.958 0.708 0.916
Pm 0.311 0.417 0.621
In 0.500 0.000 0.000
Co 0.826 0.648 0.652
Co 0.174 0.352 0.348
Cl 0.500 0.500 0.000
Cl 0.817 0.142 0.633
Cl 0.183 0.858 0.367

Record 5
Computed, not measured: crystalline RbInCoCl6 at its relaxed geometry at the PBE level of DFT.

Computed properties:
Symmetry = C2
Formation energy (no corrections) = -1.130 eV/atom
Total energy = -0.262 Ry per atom

a = 6.548 Å, b = 6.548 Å, c = 7.379 Å
α = 89.80°, β = 90.20°, γ = 59.93°
Atoms (fractional coordinates):
Rb 0.000 0.000 0.000
In 0.334 0.334 0.500
Co 0.668 0.668 0.500
Cl 0.988 0.379 0.307
Cl 0.379 0.988 0.693
Cl 0.624 0.388 0.697
Cl 0.987 0.631 0.693
Cl 0.388 0.624 0.303
Cl 0.631 0.987 0.307

Record 6
Computed, not measured: crystalline InCoSCl2 at its relaxed geometry at the PBE level of DFT.

Computed properties:
Symmetry = P4/mmm
Formation energy (no corrections) = -0.294 eV/atom
Total energy = -0.281 Ry per atom

a = 4.976 Å, b = 4.976 Å, c = 4.446 Å
α = 90.00°, β = 90.00°, γ = 90.00°
Atoms (fractional coordinates):
S 0.000 0.000 0.500
Cl 0.000 0.500 0.000
Cl 0.500 0.000 0.000
Co 0.000 0.000 0.000
In 0.500 0.500 0.500

Record 7
Computed, not measured: crystalline InCoSCl2 at its relaxed geometry at the PBE level of DFT.

Computed properties:
Symmetry = P4/mmm
Formation energy (no corrections) = 0.281 eV/atom
Total energy = -0.239 Ry per atom

a = 5.029 Å, b = 5.029 Å, c = 5.128 Å
α = 90.00°, β = 90.00°, γ = 90.00°
Atoms (fractional coordinates):
S 0.000 0.000 0.500
Cl 0.000 0.500 0.000
Cl 0.500 0.000 0.000
Co 0.500 0.500 0.500
In 0.000 0.000 0.000

Record 8
Computed, not measured: crystalline InCo2SbCl at its relaxed geometry at the PBE level of DFT.

Computed properties:
Symmetry = P4/mmm
Formation energy (no corrections) = 0.773 eV/atom
Total energy = -0.280 Ry per atom

a = 4.179 Å, b = 6.858 Å, c = 4.179 Å
α = 90.00°, β = 90.00°, γ = 90.00°
Atoms (fractional coordinates):
Sb 0.000 0.500 0.000
Cl 0.000 0.000 0.000
Co 0.000 0.000 0.500
Co 0.500 0.000 0.000
In 0.500 0.500 0.500

Record 9
Computed, not measured: crystalline In2CoSbCl at its relaxed geometry at the PBE level of DFT.

Computed properties:
Symmetry = P4/mmm
Formation energy (no corrections) = -0.236 eV/atom
Total energy = -0.290 Ry per atom

a = 5.077 Å, b = 5.077 Å, c = 4.740 Å
α = 90.00°, β = 90.00°, γ = 90.00°
Atoms (fractional coordinates):
Sb 0.000 0.000 0.500
Cl 0.500 0.500 0.500
Co 0.000 0.000 0.000
In 0.000 0.500 0.000
In 0.500 0.000 0.000

Record 10
Computed, not measured: crystalline In2CoSnCl at its relaxed geometry at the PBE level of DFT.

Computed properties:
Symmetry = P4/mmm
Formation energy (no corrections) = -0.346 eV/atom
Total energy = -0.296 Ry per atom

a = 5.029 Å, b = 5.029 Å, c = 4.808 Å
α = 90.00°, β = 90.00°, γ = 90.00°
Atoms (fractional coordinates):
Cl 0.500 0.500 0.500
Co 0.000 0.000 0.000
Sn 0.000 0.000 0.500
In 0.000 0.500 0.000
In 0.500 0.000 0.000

Record 11
Computed, not measured: crystalline VInCoCl6 at its relaxed geometry at the PBE level of DFT.

Computed properties:
Symmetry = C2
Formation energy (no corrections) = -0.896 eV/atom
Total energy = -0.311 Ry per atom

a = 6.322 Å, b = 6.322 Å, c = 6.887 Å
α = 89.78°, β = 90.22°, γ = 60.01°
Atoms (fractional coordinates):
V 0.333 0.333 0.500
In 0.000 0.000 0.000
Co 0.667 0.667 0.500
Cl 0.005 0.371 0.300
Cl 0.371 0.005 0.700
Cl 0.619 0.375 0.701
Cl 0.006 0.623 0.698
Cl 0.374 0.619 0.299
Cl 0.623 0.006 0.302

Record 12
Computed, not measured: crystalline Co4IrCl at its relaxed geometry at the PBE level of DFT.

Computed properties:
Symmetry = F-43m
Formation energy (no corrections) = 0.672 eV/atom
Total energy = -0.430 Ry per atom

a = 4.812 Å, b = 4.812 Å, c = 4.812 Å
α = 60.00°, β = 60.00°, γ = 60.00°
Atoms (fractional coordinates):
Co 0.874 0.375 0.375
Co 0.375 0.375 0.375
Co 0.375 0.375 0.874
Co 0.375 0.874 0.375
Ir 0.750 0.750 0.750
Cl 0.000 0.000 0.000

Record 13
Computed, not measured: crystalline CoIrCl at its relaxed geometry at the PBE level of DFT.

Computed properties:
Symmetry = P3m1
Formation energy (no corrections) = 0.846 eV/atom
Total energy = -0.374 Ry per atom

a = 4.184 Å, b = 4.184 Å, c = 2.863 Å
α = 90.00°, β = 90.00°, γ = 120.00°
Atoms (fractional coordinates):
Ir 0.333 0.667 0.796
Co 0.667 0.333 0.287
Cl 0.000 0.000 0.916

Record 14
Computed, not measured: crystalline CoIrCl at its relaxed geometry at the PBE level of DFT.

Computed properties:
Symmetry = P3m1
Formation energy (no corrections) = 0.392 eV/atom
Total energy = -0.408 Ry per atom

a = 2.839 Å, b = 2.839 Å, c = 7.198 Å
α = 90.00°, β = 90.00°, γ = 120.00°
Atoms (fractional coordinates):
Ir 0.333 0.667 0.594
Co 0.667 0.333 0.320
Cl 0.000 0.000 0.085

Record 15
Computed, not measured: crystalline CoIrCl3 at its relaxed geometry at the PBE level of DFT.

Computed properties:
Symmetry = Pm-3m
Formation energy (no corrections) = 0.645 eV/atom
Total energy = -0.269 Ry per atom

a = 4.803 Å, b = 4.803 Å, c = 4.803 Å
α = 90.00°, β = 90.00°, γ = 90.00°
Atoms (fractional coordinates):
Ir 0.000 0.000 0.000
Co 0.500 0.500 0.500
Cl 0.000 0.500 0.000
Cl 0.000 0.000 0.500
Cl 0.500 0.000 0.000

Record 16
Computed, not measured: crystalline CoIrCl at its relaxed geometry at the PBE level of DFT.

Computed properties:
Symmetry = F-43m
Formation energy (no corrections) = 0.970 eV/atom
Total energy = -0.365 Ry per atom

a = 4.173 Å, b = 4.173 Å, c = 4.173 Å
α = 60.00°, β = 60.00°, γ = 60.00°
Atoms (fractional coordinates):
Ir 0.250 0.250 0.250
Co 0.500 0.500 0.500
Cl 0.000 0.000 0.000

Record 17
Computed, not measured: crystalline Co3IrCl at its relaxed geometry at the PBE level of DFT.

Computed properties:
Symmetry = Pm-3m
Formation energy (no corrections) = 0.943 eV/atom
Total energy = -0.401 Ry per atom

a = 4.075 Å, b = 4.075 Å, c = 4.075 Å
α = 90.00°, β = 90.00°, γ = 90.00°
Atoms (fractional coordinates):
Ir 0.500 0.500 0.500
Co 0.000 0.500 0.000
Co 0.000 0.000 0.500
Co 0.500 0.000 0.000
Cl 0.000 0.000 0.000

Record 18
Computed, not measured: crystalline CoIr3Cl at its relaxed geometry at the PBE level of DFT.

Computed properties:
Symmetry = Pm-3m
Formation energy (no corrections) = 1.738 eV/atom
Total energy = -0.395 Ry per atom

a = 4.387 Å, b = 4.387 Å, c = 4.387 Å
α = 90.00°, β = 90.00°, γ = 90.00°
Atoms (fractional coordinates):
Ir 0.000 0.500 0.000
Ir 0.000 0.000 0.500
Ir 0.500 0.000 0.000
Co 0.500 0.500 0.500
Cl 0.000 0.000 0.000

Record 19
Computed, not measured: crystalline CoIrCl at its relaxed geometry at the PBE level of DFT.

Computed properties:
Symmetry = I4mm
Formation energy (no corrections) = 0.554 eV/atom
Total energy = -0.396 Ry per atom

a = 5.863 Å, b = 5.863 Å, c = 5.863 Å
α = 151.48°, β = 151.48°, γ = 40.78°
Atoms (fractional coordinates):
Ir 0.688 0.688 0.000
Co 0.325 0.325 0.000
Cl 0.987 0.987 0.000

Record 20
Computed, not measured: crystalline Co3IrCl at its relaxed geometry at the PBE level of DFT.

Computed properties:
Symmetry = Pm-3m
Formation energy (no corrections) = 1.273 eV/atom
Total energy = -0.377 Ry per atom

a = 4.669 Å, b = 4.669 Å, c = 4.669 Å
α = 90.00°, β = 90.00°, γ = 90.00°
Atoms (fractional coordinates):
Ir 0.000 0.000 0.000
Co 0.000 0.500 0.000
Co 0.000 0.000 0.500
Co 0.500 0.000 0.000
Cl 0.500 0.500 0.500

Record 21
Computed, not measured: crystalline CoIrCl at its relaxed geometry at the PBE level of DFT.

Computed properties:
Symmetry = Fmm2
Formation energy (no corrections) = 0.539 eV/atom
Total energy = -0.397 Ry per atom

a = 7.082 Å, b = 6.774 Å, c = 2.868 Å
α = 84.16°, β = 72.08°, γ = 23.76°
Atoms (fractional coordinates):
Ir 0.688 0.688 0.312
Co 0.339 0.339 0.661
Cl 0.973 0.973 0.027

Record 22
Computed, not measured: crystalline CoIrCl4 at its relaxed geometry at the PBE level of DFT.

Computed properties:
Symmetry = F-43m
Formation energy (no corrections) = 1.643 eV/atom
Total energy = -0.165 Ry per atom

a = 5.635 Å, b = 5.635 Å, c = 5.635 Å
α = 60.00°, β = 60.00°, γ = 60.00°
Atoms (fractional coordinates):
Co 0.750 0.750 0.750
Ir 0.000 0.000 0.000
Cl 0.876 0.375 0.375
Cl 0.375 0.375 0.876
Cl 0.375 0.876 0.375
Cl 0.375 0.375 0.375

Record 23
Computed, not measured: crystalline CoIr3Cl at its relaxed geometry at the PBE level of DFT.

Computed properties:
Symmetry = Pm-3m
Formation energy (no corrections) = 1.885 eV/atom
Total energy = -0.384 Ry per atom

a = 4.516 Å, b = 4.516 Å, c = 4.516 Å
α = 90.00°, β = 90.00°, γ = 90.00°
Atoms (fractional coordinates):
Ir 0.000 0.500 0.000
Ir 0.000 0.000 0.500
Ir 0.500 0.000 0.000
Co 0.000 0.000 0.000
Cl 0.500 0.500 0.500

Record 24
Computed, not measured: crystalline La8CoIr3Cl3 at its relaxed geometry at the PBE level of DFT.

Computed properties:
Symmetry = C2/m
Formation energy (no corrections) = -1.073 eV/atom
Total energy = -0.464 Ry per atom

a = 8.345 Å, b = 8.351 Å, c = 8.898 Å
α = 117.87°, β = 90.00°, γ = 119.98°
Atoms (fractional coordinates):
La 0.264 0.528 0.293
La 0.736 0.472 0.707
La 0.769 0.538 0.296
La 0.231 0.462 0.704
La 0.769 0.027 0.296
La 0.231 0.973 0.704
La 0.258 0.027 0.296
La 0.742 0.973 0.704
Co 0.000 0.000 0.500
Ir 0.500 0.000 0.500
Ir 0.500 0.500 0.500
Ir 0.000 0.500 0.500
Cl 0.000 0.000 0.000
Cl 0.000 0.500 0.000
Cl 0.500 0.500 0.000

Record 25
Computed, not measured: crystalline La8CoIr3Cl4 at its relaxed geometry at the PBE level of DFT.

Computed properties:
Symmetry = R-3m
Formation energy (no corrections) = -1.235 eV/atom
Total energy = -0.461 Ry per atom

a = 8.307 Å, b = 9.025 Å, c = 8.307 Å
α = 117.41°, β = 120.00°, γ = 90.00°
Atoms (fractional coordinates):
La 0.231 0.702 0.971
La 0.231 0.702 0.462
La 0.265 0.295 0.530
La 0.741 0.702 0.971
La 0.259 0.298 0.029
La 0.735 0.705 0.470
La 0.769 0.298 0.538
La 0.769 0.298 0.029
Co 0.000 0.500 0.000
Ir 0.500 0.500 0.000
Ir 0.500 0.500 0.500
Ir 0.000 0.500 0.500
Cl 0.500 0.000 0.000
Cl 0.500 0.000 0.500
Cl 0.000 0.000 0.000
Cl 0.000 0.000 0.500

Record 26
Computed, not measured: crystalline La6CoIr2Cl2 at its relaxed geometry at the PBE level of DFT.

Computed properties:
Symmetry = C2/m
Formation energy (no corrections) = -0.971 eV/atom
Total energy = -0.459 Ry per atom

a = 7.234 Å, b = 7.234 Å, c = 7.744 Å
α = 98.83°, β = 98.83°, γ = 120.07°
Atoms (fractional coordinates):
La 0.742 0.742 0.705
La 0.070 0.395 0.708
La 0.258 0.258 0.295
La 0.395 0.070 0.708
La 0.930 0.605 0.292
La 0.605 0.930 0.292
Co 0.000 0.000 0.500
Ir 0.331 0.669 0.500
Ir 0.669 0.331 0.500
Cl 0.835 0.165 0.000
Cl 0.165 0.835 0.000